# 1
# Zr2SiAs

Zr2SiAs after structural relaxation (GGA-PBE, Alexandria).

Lattice parameters (Å, degrees): 5.5191 5.5191 5.5191 137.89 137.89 61.07
Element x y z (fractional)
Zr (0.0000, 0.0000, 0.0000)
Zr (0.7500, 0.2500, 0.5000)
Si (0.5000, 0.5000, 0.0000)
As (0.2500, 0.7500, 0.5000)

Values from the calculation:
Energy, eV/cell: -29.403
Offset from the most stable computed form, eV per atom: 0.355
Space-group type: No. 119
Fermi-level density of states, states/eV per cell: 3.0

# 2
# VSN3

VSN3 after structural relaxation (GGA-PBE, Alexandria).

Lattice parameters (Å, degrees): 3.8370 3.8370 3.8370 90.00 90.00 90.00
Element x y z (fractional)
V (0.0000, 0.0000, 0.0000)
S (0.5000, 0.5000, 0.5000)
N (0.0000, 0.0000, 0.5000)
N (0.0000, 0.5000, 0.0000)
N (0.5000, 0.0000, 0.0000)

Values from the calculation:
Energy, eV/cell: -31.792
Space-group type: No. 221
Fermi-level density of states, states/eV per cell: 3.0

What formation energy from raw total energies values result from the calculations? In sequence: -0.56, 1.29 eV/atom.